# 1
# Ba2MgGaNi

A relaxed structure of Ba2MgGaNi (GGA-PBE, Alexandria).

Calculated values
- E (eV/cell) = -14.738
- ρ (Mg/m³) = 4.15
- ΔE_f (eV/atom) = -0.098
- crystal system = tetragonal

Lattice parameters (Å, degrees): 6.049 6.049 4.674 90.00 90.00 90.00
Element x y z (fractional)
Ga: 0.000 0.000 0.500
Ni: 0.000 0.000 0.000
Ba: 0.000 0.500 0.000
Ba: 0.500 0.000 0.000
Mg: 0.500 0.500 0.500

# 2
# Ba2MgGa12Ni3

A relaxed structure of Ba2MgGa12Ni3 (GGA-PBE, Alexandria).

Calculated values
- E (eV/cell) = -60.618
- ρ (Mg/m³) = 4.97
- ΔE_f (eV/atom) = -0.084
- crystal system = trigonal

Lattice parameters (Å, degrees): 8.153 8.153 8.153 66.70 66.70 66.70
Element x y z (fractional)
Ba: 0.400 0.400 0.400
Ga: 0.875 0.875 0.374
Ba: 0.600 0.600 0.600
Ni: 0.000 0.500 0.000
Mg: 0.000 0.000 0.000
Ga: 0.374 0.875 0.875
Ga: 0.726 0.726 0.073
Ga: 0.274 0.274 0.927
Ga: 0.927 0.274 0.274
Ni: 0.000 0.000 0.500
Ga: 0.875 0.374 0.875
Ga: 0.726 0.073 0.726
Ga: 0.626 0.125 0.125
Ga: 0.125 0.626 0.125
Ga: 0.274 0.927 0.274
Ga: 0.073 0.726 0.726
Ga: 0.125 0.125 0.626
Ni: 0.500 0.000 0.000

# 3
# BaMgGa2Ni

A relaxed structure of BaMgGa2Ni (GGA-PBE, Alexandria).

Calculated values
- E (eV/cell) = -16.878
- ρ (Mg/m³) = 5.31
- ΔE_f (eV/atom) = -0.305
- crystal system = tetragonal

Lattice parameters (Å, degrees): 4.764 4.764 4.959 90.00 90.00 90.00
Element x y z (fractional)
Ga: 0.000 0.500 0.000
Ni: 0.000 0.000 0.000
Ga: 0.500 0.000 0.000
Ba: 0.500 0.500 0.500
Mg: 0.000 0.000 0.500

ΔE_f of number 3 (BaMgGa2Ni)? -0.305 eV/atom

Repeat the second record exactly.
# Ba2MgGa12Ni3

A relaxed structure of Ba2MgGa12Ni3 (GGA-PBE, Alexandria).

Calculated values
- E (eV/cell) = -60.618
- ρ (Mg/m³) = 4.97
- ΔE_f (eV/atom) = -0.084
- crystal system = trigonal

Lattice parameters (Å, degrees): 8.153 8.153 8.153 66.70 66.70 66.70
Element x y z (fractional)
Ba: 0.400 0.400 0.400
Ga: 0.875 0.875 0.374
Ba: 0.600 0.600 0.600
Ni: 0.000 0.500 0.000
Mg: 0.000 0.000 0.000
Ga: 0.374 0.875 0.875
Ga: 0.726 0.726 0.073
Ga: 0.274 0.274 0.927
Ga: 0.927 0.274 0.274
Ni: 0.000 0.000 0.500
Ga: 0.875 0.374 0.875
Ga: 0.726 0.073 0.726
Ga: 0.626 0.125 0.125
Ga: 0.125 0.626 0.125
Ga: 0.274 0.927 0.274
Ga: 0.073 0.726 0.726
Ga: 0.125 0.125 0.626
Ni: 0.500 0.000 0.000